[1]
The following is a PBE calculation of a relaxed structure of AcMg3Rh2, from Alexandria via LeMat-Bulk.

Unit cell a=4.1973 b=8.5716 c=8.7069 alpha=119.45 beta=90.00 gamma=104.17
Sites, in units of the cell vectors:
Ac: 0.8566 0.7132 0.9264
Ac: 0.1434 0.2868 0.0736
Mg: 0.3197 0.6395 0.5473
Mg: 0.9590 0.9180 0.6269
Mg: 0.6063 0.2126 0.7023
Mg: 0.3937 0.7874 0.2977
Mg: 0.0410 0.0820 0.3731
Mg: 0.6803 0.3605 0.4527
Rh: 0.4938 0.9877 0.8428
Rh: 0.5062 0.0123 0.1572
Rh: 0.7955 0.5909 0.3144
Rh: 0.2045 0.4091 0.6856

- ΔH_f (0 K): -0.457 eV/atom



[2]
The following is a PBE calculation of a relaxed structure of Ac2MgRh3, from Alexandria via LeMat-Bulk.

Unit cell a=6.1262 b=6.1262 c=8.7892 alpha=108.77 beta=108.77 gamma=94.41
Sites, in units of the cell vectors:
Ac: 0.2500 0.7500 0.5000
Ac: 0.7576 0.7576 0.0000
Ac: 0.7500 0.2500 0.5000
Ac: 0.2424 0.2424 0.0000
Mg: 0.6659 0.6659 0.3319
Mg: 0.3341 0.3341 0.6681
Rh: 0.3393 0.8307 0.1700
Rh: 0.1693 0.6607 0.8300
Rh: 0.6607 0.1693 0.8300
Rh: 0.8307 0.3393 0.1700
Rh: 0.1690 0.1690 0.3380
Rh: 0.8310 0.8310 0.6620

- ΔH_f (0 K): -0.429 eV/atom